HfTlGe3: relaxed, GGA-PBEsol.

Unit cell a=5.1225 b=5.1225 c=5.1225 alpha=90.00 beta=90.00 gamma=90.00
Space group Pm-3m (No. 221)
Inequivalent atoms, fractional coordinates:
Hf1 0.0000 0.0000 0.0000 (multiplicity 1)
Tl1 0.5000 0.5000 0.5000 (multiplicity 1)
Ge1 0.0000 0.0000 0.5000 (multiplicity 3)

Properties
The calculation puts the formation energy from the elements at 0.310 eV/atom. The value obtained for the volume is 134.4 Å³/f.u. Its magnetic moment is 0.0 μB per formula unit. For the calculated density, the calculation gives 7.42 g cm⁻³.


ScSbIN2: relaxed, GGA-PBEsol.

Unit cell a=4.1324 b=4.1324 c=5.9010 alpha=90.00 beta=90.00 gamma=90.00
Space group P4/mmm (No. 123)
Inequivalent atoms, fractional coordinates:
Sc1 0.0000 0.0000 0.0000 (multiplicity 1)
Sb1 0.0000 0.0000 0.5000 (multiplicity 1)
I1 0.5000 0.5000 0.0000 (multiplicity 1)
N1 0.0000 0.5000 0.5000 (multiplicity 2)

Properties
The value obtained for the volume is 100.8 Å³/f.u. The formation energy without anion corrections is 0.8215 eV/atom. Its magnetic moment is 1.1 μB per formula unit. For the calculated density, the calculation gives 5.30 g cm⁻³.


Zn2CrIN: relaxed, GGA-PBEsol.

Unit cell a=5.3520 b=5.3520 c=3.9707 alpha=90.00 beta=90.00 gamma=90.00
Space group P4/mmm (No. 123)
Inequivalent atoms, fractional coordinates:
Zn1 0.0000 0.5000 0.0000 (multiplicity 2)
Cr1 0.0000 0.0000 0.5000 (multiplicity 1)
I1 0.5000 0.5000 0.0000 (multiplicity 1)
N1 0.5000 0.5000 0.5000 (multiplicity 1)

Properties
The value obtained for the volume is 113.7 Å³/f.u. The formation energy without anion corrections is 1.7126 eV/atom. Its magnetic moment is 5.1 μB per formula unit. For the calculated density, the calculation gives 4.73 g cm⁻³.


HgSbTe2Cl: relaxed, GGA-PBEsol.

Unit cell a=5.2804 b=5.2804 c=5.4172 alpha=90.00 beta=90.00 gamma=90.00
Space group P4/mmm (No. 123)
Inequivalent atoms, fractional coordinates:
Hg1 0.0000 0.0000 0.0000 (multiplicity 1)
Sb1 0.5000 0.5000 0.0000 (multiplicity 1)
Te1 0.0000 0.5000 0.5000 (multiplicity 2)
Cl1 0.5000 0.5000 0.5000 (multiplicity 1)

Properties
The value obtained for the volume is 151.0 Å³/f.u. The formation energy without anion corrections is 0.6971 eV/atom. Its magnetic moment is 0.0 μB per formula unit. For the calculated density, the calculation gives 6.74 g cm⁻³.